Entry 1:
This record from Alexandria via LeMat-Bulk describes Ac2PmPb after structural relaxation. The functional is GGA-PBE.

Calculated values
ΔE to the lowest computed polymorph   0.057 eV per atom
Energy   -4.370 eV per atom
Calculated volume   150 Å³/f.u.
Magnetization   0.00 μB/f.u.

a = 4.505 Å, b = 4.505 Å, c = 7.389 Å
α = 90.00°, β = 90.00°, γ = 90.00°
Element x y z (fractional)
Ac 0.000 0.000 0.232
Ac 0.000 0.000 0.768
Pm 0.500 0.500 0.500
Pb 0.500 0.500 0.000

Entry 2:
This record from Alexandria via LeMat-Bulk describes NbAg2IrPt after structural relaxation. The functional is GGA-PBE.

Calculated values
Energy   -4.675 eV per atom
Calculated volume   118 Å³/f.u.
Magnetization   3.15 μB/f.u.

a = 4.994 Å, b = 4.994 Å, c = 4.744 Å
α = 90.00°, β = 90.00°, γ = 90.00°
Element x y z (fractional)
Nb 0.000 0.000 0.000
Ag 0.000 0.500 0.500
Ag 0.500 0.000 0.500
Ir 0.500 0.500 0.500
Pt 0.500 0.500 0.000

Entry 3:
This record from Alexandria via LeMat-Bulk describes ScSn2AsO after structural relaxation. The functional is GGA-PBE.

Calculated values
Formation energy from raw total energies   -0.67 eV per atom
Energy   -5.462 eV per atom
Calculated volume   108 Å³/f.u.
Magnetization   0.00 μB/f.u.

a = 5.126 Å, b = 5.126 Å, c = 4.099 Å
α = 90.00°, β = 90.00°, γ = 90.00°
Element x y z (fractional)
Sc 0.000 0.000 0.000
Sn 0.000 0.500 0.500
Sn 0.500 0.000 0.500
As 0.500 0.500 0.000
O 0.000 0.000 0.500

Entry 4:
This record from Alexandria via LeMat-Bulk describes LaPrMg2 after structural relaxation. The functional is GGA-PBE.

Calculated values
ΔE to the lowest computed polymorph   0.172 eV per atom
Energy   -3.174 eV per atom
Calculated volume   124 Å³/f.u.
Magnetization   0.00 μB/f.u.

a = 11.537 Å, b = 11.537 Å, c = 11.537 Å
α = 17.72°, β = 17.72°, γ = 17.72°
Element x y z (fractional)
La 0.000 0.000 0.000
Pr 0.832 0.832 0.832
Mg 0.417 0.417 0.417
Mg 0.581 0.581 0.581